Cs3CuPb2F9 | the Alexandria database | PBE | optimized geometry; size of the total moment = 1.0 μB/cell; formation energy from raw total energies = -2.364 eV/atom
1.0
6.568 0.000 0.000
-3.284 5.688 0.000
0.000 0.000 8.065
Cu F Cs Pb
1 9 3 2
direct
0.000 0.000 0.500
0.000 0.500 0.000
0.699 0.849 0.350
0.849 0.151 0.650
0.151 0.849 0.350
0.151 0.301 0.350
0.500 0.500 0.000
0.849 0.699 0.650
0.500 0.000 0.000
0.301 0.151 0.650
0.000 0.000 0.000
0.667 0.333 0.338
0.333 0.667 0.662
0.667 0.333 0.813
0.333 0.667 0.187